Record 1
A plane-wave DFT calculation with meta-GGA SCAN was carried out for Be3BrF at its PBEsol-relaxed geometry.

Cell and atoms, written as CIF:
```
data_Be3BrF
_chemical_formula_sum 'Be3 Br1 F1'
_cell_length_a 4.086
_cell_length_b 4.086
_cell_length_c 4.086
_cell_angle_alpha 90.00
_cell_angle_beta 90.00
_cell_angle_gamma 90.00
_symmetry_space_group_name_H-M 'P m -3 m'
_symmetry_Int_Tables_number 221
_symmetry_space_group_name_Hall '-P 4 2 3'
loop_
_atom_site_label
_atom_site_fract_x
_atom_site_fract_y
_atom_site_fract_z
_atom_site_occupancy
Be1 0.000 0.000 0.500 1
Br1 0.500 0.500 0.500 1
F1 0.000 0.000 0.000 1
```

Its total energy is -32.34 eV/cell. For the density of states at the Fermi level, the calculation gives 2.18 states/eV/cell.

Record 2
A plane-wave DFT calculation with meta-GGA SCAN was carried out for AlCdTeI2 at its PBEsol-relaxed geometry.

Cell and atoms, written as CIF:
```
data_AlCdTeI2
_chemical_formula_sum 'Al1 Cd1 Te1 I2'
_cell_length_a 5.733
_cell_length_b 5.733
_cell_length_c 5.553
_cell_angle_alpha 90.00
_cell_angle_beta 90.00
_cell_angle_gamma 90.00
_symmetry_space_group_name_H-M 'P 4/m m m'
_symmetry_Int_Tables_number 123
_symmetry_space_group_name_Hall '-P 4 2'
loop_
_atom_site_label
_atom_site_fract_x
_atom_site_fract_y
_atom_site_fract_z
_atom_site_occupancy
Al1 0.000 0.000 0.000 1
Cd1 0.500 0.500 0.500 1
Te1 0.500 0.500 0.000 1
I1 0.000 0.500 0.500 1
```

Its total energy is -147.87 eV/cell. For the density of states at the Fermi level, the calculation gives 3.33 states/eV/cell.

Record 3
A plane-wave DFT calculation with meta-GGA SCAN was carried out for OsW2Au at its PBEsol-relaxed geometry.

Cell and atoms, written as CIF:
```
data_OsW2Au
_chemical_formula_sum 'Os4 W8 Au4'
_cell_length_a 6.307
_cell_length_b 6.307
_cell_length_c 6.307
_cell_angle_alpha 90.00
_cell_angle_beta 90.00
_cell_angle_gamma 90.00
_symmetry_space_group_name_H-M 'F m -3 m'
_symmetry_Int_Tables_number 225
_symmetry_space_group_name_Hall '-F 4 2 3'
loop_
_atom_site_label
_atom_site_fract_x
_atom_site_fract_y
_atom_site_fract_z
_atom_site_occupancy
Os1 0.000 0.000 0.000 1
W1 0.250 0.250 0.250 1
Au1 0.000 0.000 0.500 1
```

The value obtained for the formation energy is 70 kJ/mol of atoms. Its total energy is -1110.10 eV/cell. For the density of states at the Fermi level, the calculation gives 19.14 states/eV/cell.

Record 4
A plane-wave DFT calculation with meta-GGA SCAN was carried out for FeTe2Os at its PBEsol-relaxed geometry.

Cell and atoms, written as CIF:
```
data_FeTe2Os
_chemical_formula_sum 'Fe2 Te4 Os2'
_cell_length_a 3.886
_cell_length_b 3.886
_cell_length_c 9.455
_cell_angle_alpha 90.00
_cell_angle_beta 90.00
_cell_angle_gamma 90.00
_symmetry_space_group_name_H-M 'I -4 m 2'
_symmetry_Int_Tables_number 119
_symmetry_space_group_name_Hall 'I -4 -2'
loop_
_atom_site_label
_atom_site_fract_x
_atom_site_fract_y
_atom_site_fract_z
_atom_site_occupancy
Fe1 0.000 0.000 0.000 1
Te1 0.000 0.000 0.500 1
Te2 0.000 0.500 0.750 1
Os1 0.000 0.500 0.250 1
```

Its total energy is -321.83 eV/cell. For the density of states at the Fermi level, the calculation gives 6.45 states/eV/cell.

Record 5
A plane-wave DFT calculation with meta-GGA SCAN was carried out for SrLi2GePb at its PBEsol-relaxed geometry.

Cell and atoms, written as CIF:
```
data_SrLi2GePb
_chemical_formula_sum 'Sr1 Li2 Ge1 Pb1'
_cell_length_a 5.347
_cell_length_b 5.347
_cell_length_c 5.932
_cell_angle_alpha 90.00
_cell_angle_beta 90.00
_cell_angle_gamma 90.00
_symmetry_space_group_name_H-M 'P 4/m m m'
_symmetry_Int_Tables_number 123
_symmetry_space_group_name_Hall '-P 4 2'
loop_
_atom_site_label
_atom_site_fract_x
_atom_site_fract_y
_atom_site_fract_z
_atom_site_occupancy
Sr1 0.000 0.000 0.000 1
Li1 0.000 0.500 0.000 1
Ge1 0.500 0.500 0.500 1
Pb1 0.000 0.000 0.500 1
```

The value obtained for the formation energy is 94 kJ/mol of atoms. Its total energy is -117.05 eV/cell. For the density of states at the Fermi level, the calculation gives 2.23 states/eV/cell.

Record 6
A plane-wave DFT calculation with meta-GGA SCAN was carried out for MnCdPt2 at its PBEsol-relaxed geometry.

Cell and atoms, written as CIF:
```
data_MnCdPt2
_chemical_formula_sum 'Mn1 Cd1 Pt2'
_cell_length_a 2.902
_cell_length_b 4.560
_cell_length_c 4.734
_cell_angle_alpha 90.00
_cell_angle_beta 90.00
_cell_angle_gamma 90.00
_symmetry_space_group_name_H-M 'P m m 2'
_symmetry_Int_Tables_number 25
_symmetry_space_group_name_Hall 'P 2 -2'
loop_
_atom_site_label
_atom_site_fract_x
_atom_site_fract_y
_atom_site_fract_z
_atom_site_occupancy
Mn1 0.000 0.000 0.000 1
Cd1 0.000 0.500 0.391 1
Pt1 0.500 0.000 0.519 1
Pt2 0.500 0.500 0.896 1
```

The value obtained for the formation energy is -48 kJ/mol of atoms. Its total energy is -191.05 eV/cell. For the density of states at the Fermi level, the calculation gives 1.21 states/eV/cell.